No. 1
# Be3ReSb, relaxed, DFT PBE-GGA
# - Polymorph energy (0 for the lowest one): 1037 meV per atom
# - Fermi-level density of states: 2.6 states/eV/cell
data_Be3ReSb
_chemical_formula_sum 'Be3 Re1 Sb1'
_cell_length_a 4.4601
_cell_length_b 4.4601
_cell_length_c 4.4601
_cell_angle_alpha 90.00
_cell_angle_beta 90.00
_cell_angle_gamma 90.00
_space_group_name_H-M_alt 'P m -3 m'
_space_group_IT_number 221
_space_group_name_Hall '-P 4 2 3'
loop_
_atom_site_label
_atom_site_fract_x
_atom_site_fract_y
_atom_site_fract_z
Be1 0.0000 0.0000 0.5000
Re1 0.5000 0.5000 0.5000
Sb1 0.0000 0.0000 0.0000

***

No. 2
# BeReSb, relaxed, DFT PBE-GGA
# - Polymorph energy (0 for the lowest one): 0 meV per atom
# - Fermi-level density of states: 0.6 states/eV/cell
data_BeReSb
_chemical_formula_sum 'Be2 Re2 Sb2'
_cell_length_a 3.2562
_cell_length_b 3.2562
_cell_length_c 8.4102
_cell_angle_alpha 90.00
_cell_angle_beta 90.00
_cell_angle_gamma 90.00
_space_group_name_H-M_alt 'I 4 m m'
_space_group_IT_number 107
_space_group_name_Hall 'I 4 -2'
loop_
_atom_site_label
_atom_site_fract_x
_atom_site_fract_y
_atom_site_fract_z
Be1 0.0000 0.0000 0.0000
Re1 0.0000 0.0000 0.6310
Sb1 0.0000 0.0000 0.3118

***

No. 3
# BeReSb2, relaxed, DFT PBE-GGA
# - Fermi-level density of states: 2.9 states/eV/cell
# - Uncorrected energy: -5.16 eV per atom
data_BeReSb2
_chemical_formula_sum 'Be1 Re1 Sb2'
_cell_length_a 3.5752
_cell_length_b 4.1411
_cell_length_c 5.0464
_cell_angle_alpha 90.00
_cell_angle_beta 90.00
_cell_angle_gamma 90.00
_space_group_name_H-M_alt 'P m m m'
_space_group_IT_number 47
_space_group_name_Hall '-P 2 2'
loop_
_atom_site_label
_atom_site_fract_x
_atom_site_fract_y
_atom_site_fract_z
Be1 0.0000 0.0000 0.0000
Re1 0.5000 0.0000 0.5000
Sb1 0.0000 0.5000 0.5000
Sb2 0.5000 0.5000 0.0000

***

No. 4
# BeReSb2, relaxed, DFT PBE-GGA
# - Fermi-level density of states: 13.1 states/eV/cell
# - Uncorrected energy: -5.28 eV per atom
data_BeReSb2
_chemical_formula_sum 'Be4 Re4 Sb8'
_cell_length_a 5.9067
_cell_length_b 5.9067
_cell_length_c 11.6402
_cell_angle_alpha 90.00
_cell_angle_beta 90.00
_cell_angle_gamma 90.00
_space_group_name_H-M_alt 'I -4 2 d'
_space_group_IT_number 122
_space_group_name_Hall 'I -4 2bw'
loop_
_atom_site_label
_atom_site_fract_x
_atom_site_fract_y
_atom_site_fract_z
Be1 0.0000 0.0000 0.0000
Re1 0.0000 0.0000 0.5000
Sb1 0.2298 0.2500 0.1250

***

No. 5
# Be3ReSb, relaxed, DFT PBE-GGA
# - Polymorph energy (0 for the lowest one): 0 meV per atom
# - Fermi-level density of states: 1.8 states/eV/cell
data_Be3ReSb
_chemical_formula_sum 'Be3 Re1 Sb1'
_cell_length_a 4.3292
_cell_length_b 4.3292
_cell_length_c 4.3292
_cell_angle_alpha 90.00
_cell_angle_beta 90.00
_cell_angle_gamma 90.00
_space_group_name_H-M_alt 'P m -3 m'
_space_group_IT_number 221
_space_group_name_Hall '-P 4 2 3'
loop_
_atom_site_label
_atom_site_fract_x
_atom_site_fract_y
_atom_site_fract_z
Be1 0.0000 0.0000 0.5000
Re1 0.0000 0.0000 0.0000
Sb1 0.5000 0.5000 0.5000

***

No. 6
# BeReSb2, relaxed, DFT PBE-GGA
# - Fermi-level density of states: 5.6 states/eV/cell
# - Uncorrected energy: -5.25 eV per atom
data_BeReSb2
_chemical_formula_sum 'Be2 Re2 Sb4'
_cell_length_a 3.4378
_cell_length_b 5.3308
_cell_length_c 8.1609
_cell_angle_alpha 90.00
_cell_angle_beta 90.00
_cell_angle_gamma 90.00
_space_group_name_H-M_alt 'C m m m'
_space_group_IT_number 65
_space_group_name_Hall '-C 2 2'
loop_
_atom_site_label
_atom_site_fract_x
_atom_site_fract_y
_atom_site_fract_z
Be1 0.0000 0.0000 0.0000
Re1 0.0000 0.0000 0.5000
Sb1 0.0000 0.5000 0.2387

***

No. 7
# BeReSb2, relaxed, DFT PBE-GGA
# - Fermi-level density of states: 12.1 states/eV/cell
# - Uncorrected energy: -5.54 eV per atom
data_BeReSb2
_chemical_formula_sum 'Be3 Re3 Sb6'
_cell_length_a 3.3779
_cell_length_b 3.3779
_cell_length_c 22.3260
_cell_angle_alpha 90.00
_cell_angle_beta 90.00
_cell_angle_gamma 120.00
_space_group_name_H-M_alt 'R -3 m'
_space_group_IT_number 166
_space_group_name_Hall '-R 3 2"'
loop_
_atom_site_label
_atom_site_fract_x
_atom_site_fract_y
_atom_site_fract_z
Be1 0.0000 0.0000 0.0000
Re1 0.0000 0.0000 0.5000
Sb1 0.0000 0.0000 0.2539

***

No. 8
# BeReSb, relaxed, DFT PBE-GGA
# - Polymorph energy (0 for the lowest one): 539 meV per atom
# - Fermi-level density of states: 4.6 states/eV/cell
data_BeReSb
_chemical_formula_sum 'Be4 Re4 Sb4'
_cell_length_a 6.0272
_cell_length_b 6.0272
_cell_length_c 6.0272
_cell_angle_alpha 90.00
_cell_angle_beta 90.00
_cell_angle_gamma 90.00
_space_group_name_H-M_alt 'F -4 3 m'
_space_group_IT_number 216
_space_group_name_Hall 'F -4 2 3'
loop_
_atom_site_label
_atom_site_fract_x
_atom_site_fract_y
_atom_site_fract_z
Be1 0.0000 0.0000 0.0000
Re1 0.2500 0.2500 0.2500
Sb1 0.0000 0.0000 0.5000

***

No. 9
# BeReSb, relaxed, DFT PBE-GGA
# - Polymorph energy (0 for the lowest one): 434 meV per atom
# - Fermi-level density of states: 1.6 states/eV/cell
data_BeReSb
_chemical_formula_sum 'Be1 Re1 Sb1'
_cell_length_a 3.0602
_cell_length_b 3.0602
_cell_length_c 6.0555
_cell_angle_alpha 90.00
_cell_angle_beta 90.00
_cell_angle_gamma 120.00
_space_group_name_H-M_alt 'P 3 m 1'
_space_group_IT_number 156
_space_group_name_Hall 'P 3 -2"'
loop_
_atom_site_label
_atom_site_fract_x
_atom_site_fract_y
_atom_site_fract_z
Be1 0.0000 0.0000 0.0000
Re1 0.3333 0.6667 0.2730
Sb1 0.6667 0.3333 0.6254

***

No. 10
# BeReSb4, relaxed, DFT PBE-GGA
# - Fermi-level density of states: 17.0 states/eV/cell
# - Uncorrected energy: -3.93 eV per atom
data_BeReSb4
_chemical_formula_sum 'Be4 Re4 Sb16'
_cell_length_a 8.5390
_cell_length_b 8.5390
_cell_length_c 8.5390
_cell_angle_alpha 90.00
_cell_angle_beta 90.00
_cell_angle_gamma 90.00
_space_group_name_H-M_alt 'F -4 3 m'
_space_group_IT_number 216
_space_group_name_Hall 'F -4 2 3'
loop_
_atom_site_label
_atom_site_fract_x
_atom_site_fract_y
_atom_site_fract_z
Be1 0.0000 0.0000 0.0000
Re1 0.2500 0.2500 0.7500
Sb1 0.1253 0.1253 0.3747

***

No. 11
# BeReSb2, relaxed, DFT PBE-GGA
# - Fermi-level density of states: 5.2 states/eV/cell
# - Uncorrected energy: -5.33 eV per atom
data_BeReSb2
_chemical_formula_sum 'Be2 Re2 Sb4'
_cell_length_a 5.8982
_cell_length_b 7.2374
_cell_length_c 3.3647
_cell_angle_alpha 90.00
_cell_angle_beta 90.13
_cell_angle_gamma 90.00
_space_group_name_H-M_alt 'C 1 2/m 1'
_space_group_IT_number 12
_space_group_name_Hall '-C 2y'
loop_
_atom_site_label
_atom_site_fract_x
_atom_site_fract_y
_atom_site_fract_z
Be1 0.0000 0.0000 0.0000
Re1 0.0000 0.5000 0.0000
Sb1 0.2500 0.2500 0.5000

***

No. 12
# BeRe4Sb, relaxed, DFT PBE-GGA
# - Fermi-level density of states: 24.0 states/eV/cell
# - Uncorrected energy: -8.79 eV per atom
data_BeRe4Sb
_chemical_formula_sum 'Be4 Re16 Sb4'
_cell_length_a 7.4114
_cell_length_b 7.4114
_cell_length_c 7.4114
_cell_angle_alpha 90.00
_cell_angle_beta 90.00
_cell_angle_gamma 90.00
_space_group_name_H-M_alt 'F -4 3 m'
_space_group_IT_number 216
_space_group_name_Hall 'F -4 2 3'
loop_
_atom_site_label
_atom_site_fract_x
_atom_site_fract_y
_atom_site_fract_z
Be1 0.0000 0.0000 0.0000
Re1 0.1255 0.1255 0.6255
Sb1 0.2500 0.2500 0.2500

***

No. 13
# BeReSb2, relaxed, DFT PBE-GGA
# - Fermi-level density of states: 3.0 states/eV/cell
# - Uncorrected energy: -5.85 eV per atom
data_BeReSb2
_chemical_formula_sum 'Be2 Re2 Sb4'
_cell_length_a 7.7648
_cell_length_b 3.4274
_cell_length_c 7.4106
_cell_angle_alpha 90.00
_cell_angle_beta 121.48
_cell_angle_gamma 90.00
_space_group_name_H-M_alt 'C 1 m 1'
_space_group_IT_number 8
_space_group_name_Hall 'C -2y'
loop_
_atom_site_label
_atom_site_fract_x
_atom_site_fract_y
_atom_site_fract_z
Be1 0.0000 0.0000 0.0000
Re1 0.2016 0.5000 0.0002
Sb1 0.0222 0.5000 0.2682
Sb2 0.2547 0.0000 0.7319

***

No. 14
# BeReSb2, relaxed, DFT PBE-GGA
# - Fermi-level density of states: 3.6 states/eV/cell
# - Uncorrected energy: -5.88 eV per atom
data_BeReSb2
_chemical_formula_sum 'Be1 Re1 Sb2'
_cell_length_a 3.1696
_cell_length_b 3.1696
_cell_length_c 8.0439
_cell_angle_alpha 90.00
_cell_angle_beta 90.00
_cell_angle_gamma 90.00
_space_group_name_H-M_alt 'P 4 m m'
_space_group_IT_number 99
_space_group_name_Hall 'P 4 -2'
loop_
_atom_site_label
_atom_site_fract_x
_atom_site_fract_y
_atom_site_fract_z
Be1 0.0000 0.0000 0.0000
Re1 0.5000 0.5000 0.1083
Sb1 0.0000 0.0000 0.3292
Sb2 0.5000 0.5000 0.7601

***

No. 15
# BeReSb2, relaxed, DFT PBE-GGA
# - Fermi-level density of states: 5.2 states/eV/cell
# - Uncorrected energy: -5.39 eV per atom
data_BeReSb2
_chemical_formula_sum 'Be2 Re2 Sb4'
_cell_length_a 3.6073
_cell_length_b 4.9286
_cell_length_c 7.9934
_cell_angle_alpha 90.00
_cell_angle_beta 90.00
_cell_angle_gamma 90.00
_space_group_name_H-M_alt 'I m m m'
_space_group_IT_number 71
_space_group_name_Hall '-I 2 2'
loop_
_atom_site_label
_atom_site_fract_x
_atom_site_fract_y
_atom_site_fract_z
Be1 0.0000 0.0000 0.0000
Re1 0.0000 0.0000 0.5000
Sb1 0.0000 0.5000 0.2845